First-principles (PBE-GGA) data for a relaxed structure of PrCd2Ag8, as listed in Alexandria.

Cell: 7.7269 14.8984 5.1588 Å, 90.00 129.92 90.00°
Last column: nearest neighbours and their distance in Å.
Space group C2/m (No. 12)
One atom of each set of equivalent atoms:
1 Pr 0.0000 0.0000 0.0000 [2 per cell]  6 Ag 3.07-3.25
2 Cd 0.0000 0.3212 0.5000 [4 per cell]  12 Ag 2.96-3.12
3 Ag 0.0000 0.2060 0.0000 [4 per cell]  6 Ag 2.85-3.17, 4 Cd 2.99-3.10, 1 Pr 3.07
4 Ag 0.0041 0.5000 0.2530 [4 per cell]  4 Ag 2.57-2.86
5 Ag 0.2302 0.1355 0.7367 [8 per cell]  5 Ag 2.73-3.04

Formation enthalpy at 0 K ... -0.040 eV per atom

First-principles (PBE-GGA) data for a relaxed structure of IrW3Br, as listed in Alexandria.

Cell: 4.8304 4.8304 4.8304 Å, 90.00 90.00 90.00°
Last column: nearest neighbours and their distance in Å.
Space group Pm-3m (No. 221)
One atom of each set of equivalent atoms:
1 Ir 0.0000 0.0000 0.0000 [1 per cell]  6 W 2.42
2 W 0.0000 0.0000 0.5000 [3 per cell]  2 Ir 2.42
3 Br 0.5000 0.5000 0.5000 [1 per cell]  12 W 3.42

Formation energy (no corrections) ... 2.17 eV per atom

First-principles (PBE-GGA) data for a relaxed structure of Cs3ScBi, as listed in Alexandria.

Cell: 7.5148 7.5148 7.5148 Å, 90.00 90.00 90.00°
Last column: nearest neighbours and their distance in Å.
Space group Pm-3m (No. 221)
One atom of each set of equivalent atoms:
1 Cs 0.0000 0.0000 0.5000 [3 per cell]  2 Bi 3.76
2 Sc 0.5000 0.5000 0.5000 [1 per cell]  12 Cs 5.31
3 Bi 0.0000 0.0000 0.0000 [1 per cell]  6 Cs 3.76

Formation enthalpy at 0 K ... 0.507 eV per atom